This record from Alexandria describes a relaxed MgTc2Rh crystal. The functional is GGA-PBE.

Properties
SG: Cmmm, No. 65
formation energy: 89 meV/atom

Unit cell a=5.0284 b=5.0284 c=2.7229 alpha=90.00 beta=90.00 gamma=119.89
Sites, in units of the cell vectors:
Mg 0.0000 0.0000 0.0000
Tc 0.0000 0.5000 0.5000
Tc 0.5000 0.0000 0.5000
Rh 0.5000 0.5000 0.0000